# 1
# AcScSbO5, relaxed, DFT GGA-PBE
data_AcScSbO5
_chemical_formula_sum 'Ac4 Sc4 Sb4 O20'
_cell_length_a 7.6821
_cell_length_b 9.3230
_cell_length_c 8.1552
_cell_angle_alpha 90.00
_cell_angle_beta 117.75
_cell_angle_gamma 90.00
_symmetry_space_group_name_H-M 'C 1 2/c 1'
_symmetry_Int_Tables_number 15
_symmetry_space_group_name_Hall '-C 2yc'
loop_
_atom_site_label
_atom_site_type_symbol
_atom_site_fract_x
_atom_site_fract_y
_atom_site_fract_z
Ac1 Ac 0.0000 0.0644 0.2500
Sc1 Sc 0.2500 0.2500 0.0000
Sb1 Sb 0.0000 0.4552 0.2500
O1 O 0.0000 0.1965 0.7500
O2 O 0.0441 0.3103 0.0997
O3 O 0.2186 0.0311 0.0776
# Raw formation energy (meV per atom): -2550.5

=====

# 2
# Tb2Dy3ErTe6, relaxed, DFT GGA-PBE
data_Tb2Dy3ErTe6
_chemical_formula_sum 'Tb4 Dy6 Er2 Te12'
_cell_length_a 18.9610
_cell_length_b 4.3329
_cell_length_c 8.7466
_cell_angle_alpha 90.00
_cell_angle_beta 103.18
_cell_angle_gamma 90.00
_symmetry_space_group_name_H-M 'C 1 2/m 1'
_symmetry_Int_Tables_number 12
_symmetry_space_group_name_Hall '-C 2y'
loop_
_atom_site_label
_atom_site_type_symbol
_atom_site_fract_x
_atom_site_fract_y
_atom_site_fract_z
Tb1 Tb 0.1684 0.0000 0.3351
Dy1 Dy 0.0000 0.5000 0.5000
Dy2 Dy 0.1691 0.0000 0.8329
Er1 Er 0.0000 0.5000 0.0000
Te1 Te 0.0007 0.0000 0.7527
Te2 Te 0.1647 0.5000 0.0808
Te3 Te 0.1654 0.5000 0.5836
# Raw formation energy (meV per atom): -1278.0

=====

# 3
# LaHgMo2, relaxed, DFT GGA-PBE
data_LaHgMo2
_chemical_formula_sum 'La2 Hg2 Mo4'
_cell_length_a 6.0640
_cell_length_b 9.8641
_cell_length_c 2.9622
_cell_angle_alpha 90.00
_cell_angle_beta 113.42
_cell_angle_gamma 90.00
_symmetry_space_group_name_H-M 'C 1 2/m 1'
_symmetry_Int_Tables_number 12
_symmetry_space_group_name_Hall '-C 2y'
loop_
_atom_site_label
_atom_site_type_symbol
_atom_site_fract_x
_atom_site_fract_y
_atom_site_fract_z
La1 La 0.0000 0.0000 0.0000
Hg1 Hg 0.0000 0.5000 0.0000
Mo1 Mo 0.2500 0.2500 0.5000
# E_form (meV per atom): 663

=====

| no. | magnetic moment (μB/f.u.) | VASP energy (eV/f.u.) |
| --- | --- | --- |
| 1 | 0.9 | -59.758 |
| 2 | 0.0 | -61.816 |
| 3 | 0.0 | -24.241 |